## one
Below is PrPu after structural relaxation, with properties calculated at the GGA-PBE level.

Cell lengths 3.0690, 3.0690, 6.0143 Å; angles 90.00, 90.00, 120.00 degrees
Space group P-6m2 (No. 187)
One atom of each set of equivalent atoms:
Pr (0.0000, 0.0000, 0.0000) x1
Pu (0.6667, 0.3333, 0.5000) x1

Properties
spin magnetization = 5.4 μB/f.u.

***

## two
Below is PrPu after structural relaxation, with properties calculated at the GGA-PBE level.

Cell lengths 6.446, 6.446, 6.446 Å; angles 90.00, 90.00, 90.00 degrees
Space group Fm-3m (No. 225)
One atom of each set of equivalent atoms:
Pr (0.000, 0.000, 0.000) x4
Pu (0.000, 0.000, 0.500) x4

Properties
spin magnetization = 6.6 μB/f.u.

***

Which of them is the most stable? Correct choice: one.

***

## one
Below is Pr2Re after structural relaxation, with properties calculated at the GGA-PBE level.

Cell lengths 7.007, 7.007, 7.007 Å; angles 90.00, 90.00, 90.00 degrees
Space group Fm-3m (No. 225)
One atom of each set of equivalent atoms:
Pr (0.250, 0.250, 0.250) x8
Re (0.000, 0.000, 0.000) x4

Properties
spin magnetization = 0.0 μB/f.u.

***

## two
Below is Pr2Re after structural relaxation, with properties calculated at the GGA-PBE level.

Cell lengths 8.542, 8.542, 8.542 Å; angles 90.00, 90.00, 90.00 degrees
Space group Fd-3m (No. 227, origin choice 2)
One atom of each set of equivalent atoms:
Pr (0.000, 0.000, 0.000) x16
Re (0.125, 0.125, 0.625) x8

Properties
spin magnetization = 0.2 μB/f.u.

***

Which of them is the most stable? Correct choice: one.